[1]
Here is Li2TlCd after structural relaxation from the Alexandria database. Energies are from PBEsol.

Cell: 3.4395 3.4395 6.2832 Å, 90.00 90.00 90.00°
With the nearest neighbours (Å) after each atom.
Space group P4/mmm (No. 123)
Asymmetric unit:
Li 0.0000 0.0000 0.2482 [2 per cell]  4 Cd 2.89, 4 Tl 2.90, 2 Li 3.12-3.16
Tl 0.5000 0.5000 0.5000 [1 per cell]  8 Li 2.90, 2 Cd 3.14
Cd 0.5000 0.5000 0.0000 [1 per cell]  8 Li 2.89, 2 Tl 3.14

## Properties
Total DFT energy (no corrections) in eV/atom: -2.20
DFT formation energy in eV per atom: -0.26

***

[2]
Here is Li2TlCd after structural relaxation from the Alexandria database. Energies are from PBEsol.

Cell: 6.6554 6.6554 6.6554 Å, 90.00 90.00 90.00°
With the nearest neighbours (Å) after each atom.
Space group Fm-3m (No. 225)
Asymmetric unit:
Li 0.2500 0.2500 0.2500 [8 per cell]  4 Cd 2.88, 4 Tl 2.88
Tl 0.0000 0.0000 0.0000 [4 per cell]  8 Li 2.88
Cd 0.0000 0.0000 0.5000 [4 per cell]  8 Li 2.88

## Properties
Total DFT energy (no corrections) in eV/atom: -2.21
DFT formation energy in eV per atom: -0.27

***

[3]
Here is LiTlCd2 after structural relaxation from the Alexandria database. Energies are from PBEsol.

Cell: 3.4893 3.4893 6.8834 Å, 90.00 90.00 90.00°
With the nearest neighbours (Å) after each atom.
Space group P4mm (No. 99)
Asymmetric unit:
Li 0.0000 0.0000 0.0000 [1 per cell]  5 Cd 2.89-3.20, 4 Tl 2.99
Tl 0.5000 0.5000 0.2450 [1 per cell]  4 Li 2.99, 5 Cd 3.17-3.18
Cd 0.0000 0.0000 0.5350 [1 per cell]  4 Cd 3.00, 4 Tl 3.17, 1 Li 3.20
Cd 0.5000 0.5000 0.7825 [1 per cell]  4 Li 2.89, 4 Cd 3.00, 1 Tl 3.18

## Properties
Total DFT energy (no corrections) in eV/atom: -1.86
DFT formation energy in eV per atom: -0.11

***

[4]
Here is LiTlCd2 after structural relaxation from the Alexandria database. Energies are from PBEsol.

Cell: 3.4155 4.1856 6.0014 Å, 90.00 90.00 90.00°
With the nearest neighbours (Å) after each atom.
Space group Pmmm (No. 47)
Asymmetric unit:
Li 0.0000 0.0000 0.0000 [1 per cell]  2 Tl 3.00, 8 Cd 3.05
Tl 0.0000 0.0000 0.5000 [1 per cell]  2 Li 3.00, 8 Cd 3.13
Cd 0.5000 0.5000 0.2357 [2 per cell]  1 Cd 2.83, 4 Li 3.05, 4 Tl 3.13

## Properties
Total DFT energy (no corrections) in eV/atom: -1.85
DFT formation energy in eV per atom: -0.11

***

[5]
Here is LiTlCd after structural relaxation from the Alexandria database. Energies are from PBEsol.

Cell: 3.2969 4.3596 8.8369 Å, 90.00 90.00 90.00°
With the nearest neighbours (Å) after each atom.
Space group Imm2 (No. 44)
Asymmetric unit:
Li 0.0000 0.0000 0.0000 [2 per cell]  5 Tl 2.92-3.12, 5 Cd 2.97-3.09
Tl 0.0000 0.0000 0.3307 [2 per cell]  5 Li 2.92-3.12, 5 Cd 2.95-3.10
Cd 0.0000 0.0000 0.6642 [2 per cell]  5 Tl 2.95-3.10, 5 Li 2.97-3.09, 2 Cd 3.30

## Properties
Total DFT energy (no corrections) in eV/atom: -2.08
DFT formation energy in eV per atom: -0.15

***

[6]
Here is LiTlCd after structural relaxation from the Alexandria database. Energies are from PBEsol.

Cell: 4.9156 4.9156 3.2056 Å, 90.00 90.00 120.00°
With the nearest neighbours (Å) after each atom.
Space group P3m1 (No. 156)
Asymmetric unit:
Li 0.0000 0.0000 0.0000 [1 per cell]  2 Li 3.21, 6 Tl 3.23-3.29, 6 Cd 3.23-3.28
Tl 0.3333 0.6667 0.4798 [1 per cell]  3 Cd 2.84
Cd 0.6667 0.3333 0.5161 [1 per cell]  3 Tl 2.84

## Properties
Total DFT energy (no corrections) in eV/atom: -2.07
DFT formation energy in eV per atom: -0.14